This record from the Alexandria database describes a relaxed CoHgAs2 crystal. The functional is GGA-PBE.

Cell lengths 8.730, 8.730, 8.730 Å; angles 20.74, 20.74, 20.74 degrees
Sites, in units of the cell vectors:
Co (0.000, 0.000, 0.000)
Hg (0.748, 0.748, 0.748)
As (0.279, 0.279, 0.279)
As (0.520, 0.520, 0.520)

Volume (Å³ per cell): 73.06
Total magnetization (μB/f.u.): 0.000
Space group: R3m (160)
DFT formation energy (eV/atom): 0.25
DOS(E_F) (states/eV/f.u.): 3.36

---

This record from the Alexandria database describes a relaxed Y2TlPd crystal. The functional is GGA-PBE.

Cell lengths 3.566, 3.566, 7.735 Å; angles 90.00, 90.00, 90.00 degrees
Sites, in units of the cell vectors:
Y (0.000, 0.000, 0.224)
Y (0.000, 0.000, 0.776)
Tl (0.500, 0.500, 0.500)
Pd (0.500, 0.500, 0.000)

Volume (Å³ per cell): 98.36
Total magnetization (μB/f.u.): 0.000
Space group: P4/mmm (123)
DFT formation energy (eV/atom): -0.63
DOS(E_F) (states/eV/f.u.): 2.93

---

This record from the Alexandria database describes a relaxed BaY2Al crystal. The functional is GGA-PBE.

Cell lengths 11.225, 11.225, 11.225 Å; angles 19.23, 19.23, 19.23 degrees
Sites, in units of the cell vectors:
Ba (0.000, 0.000, 0.000)
Y (0.232, 0.232, 0.232)
Y (0.768, 0.768, 0.768)
Al (0.500, 0.500, 0.500)

Volume (Å³ per cell): 134.11
Total magnetization (μB/f.u.): 0.000
Space group: R-3m (166)
DFT formation energy (eV/atom): 0.03
DOS(E_F) (states/eV/f.u.): 1.63

---

This record from the Alexandria database describes a relaxed V3SiPd crystal. The functional is GGA-PBE.

Cell lengths 4.601, 4.601, 4.601 Å; angles 90.00, 90.00, 90.00 degrees
Sites, in units of the cell vectors:
V (0.000, 0.000, 0.500)
V (0.000, 0.500, 0.000)
V (0.500, 0.000, 0.000)
Si (0.500, 0.500, 0.500)
Pd (0.000, 0.000, 0.000)

Volume (Å³ per cell): 97.37
Total magnetization (μB/f.u.): 3.570
Space group: Pm-3m (221)
Polymorph energy (0 for the lowest one) (eV per atom): 0.603
DOS(E_F) (states/eV/f.u.): 7.19

---

This record from the Alexandria database describes a relaxed CeSiNiOs crystal. The functional is GGA-PBE.

Cell lengths 4.298, 4.959, 4.959 Å; angles 43.93, 90.00, 90.00 degrees
Sites, in units of the cell vectors:
Ce (0.000, 0.000, 0.000)
Si (0.500, 0.621, 0.621)
Ni (0.500, 0.275, 0.275)
Os (0.000, 0.734, 0.734)

Volume (Å³ per cell): 73.35
Total magnetization (μB/f.u.): 0.000
Space group: Amm2 (38)
Uncorrected energy (eV/atom): -7.320
DOS(E_F) (states/eV/f.u.): 1.55

---

This record from the Alexandria database describes a relaxed ZnIn4Ga5 crystal. The functional is GGA-PBE.

Cell lengths 6.037, 6.547, 6.620 Å; angles 83.51, 65.66, 68.77 degrees
Sites, in units of the cell vectors:
Zn (0.000, 0.000, 0.000)
In (0.199, 0.382, 0.738)
In (0.214, 0.646, 0.252)
In (0.494, 0.756, 0.620)
In (0.922, 0.269, 0.380)
Ga (0.420, 0.031, 0.995)
Ga (0.520, 0.134, 0.321)
Ga (0.657, 0.354, 0.888)
Ga (0.762, 0.673, 0.112)
Ga (0.910, 0.888, 0.677)

Volume (Å³ per cell): 222.02
Total magnetization (μB/f.u.): 0.000
Space group: P1 (1)
DFT formation energy (eV/atom): 0.03
DOS(E_F) (states/eV/f.u.): 2.57

---

This record from the Alexandria database describes a relaxed SmZnBiPd crystal. The functional is GGA-PBE.

Cell lengths 5.019, 5.019, 5.019 Å; angles 60.00, 60.00, 60.00 degrees
Sites, in units of the cell vectors:
Sm (0.000, 0.000, 0.000)
Zn (0.250, 0.250, 0.250)
Bi (0.500, 0.500, 0.500)
Pd (0.750, 0.750, 0.750)

Volume (Å³ per cell): 89.42
Total magnetization (μB/f.u.): 0.000
Space group: F-43m (216)
DFT formation energy (eV/atom): -0.51
DOS(E_F) (states/eV/f.u.): 1.08

---

This record from the Alexandria database describes a relaxed La6Ge2Se3S crystal. The functional is GGA-PBE.

Cell lengths 9.723, 9.723, 8.676 Å; angles 103.25, 103.25, 25.85 degrees
Sites, in units of the cell vectors:
La (0.002, 0.002, 0.244)
La (0.332, 0.332, 0.422)
La (0.336, 0.336, 0.912)
La (0.664, 0.664, 0.088)
La (0.668, 0.668, 0.578)
La (0.998, 0.998, 0.756)
Ge (0.165, 0.165, 0.329)
Ge (0.835, 0.835, 0.671)
Se (0.166, 0.166, 0.834)
Se (0.500, 0.500, 0.500)
Se (0.834, 0.834, 0.166)
S (0.500, 0.500, 0.000)

Volume (Å³ per cell): 347.57
Total magnetization (μB/f.u.): 0.000
Space group: C2/m (12)
Uncorrected energy (eV/atom): -6.133
DOS(E_F) (states/eV/f.u.): 4.37

---

This record from the Alexandria database describes a relaxed Nd2AlS crystal. The functional is GGA-PBE.

Cell lengths 8.001, 8.001, 8.001 Å; angles 29.06, 29.06, 29.06 degrees
Sites, in units of the cell vectors:
Nd (0.242, 0.242, 0.242)
Nd (0.758, 0.758, 0.758)
Al (0.000, 0.000, 0.000)
S (0.500, 0.500, 0.500)

Volume (Å³ per cell): 106.86
Total magnetization (μB/f.u.): 0.000
Space group: R-3m (166)
Polymorph energy (0 for the lowest one) (eV per atom): 0.099
DOS(E_F) (states/eV/f.u.): 2.48

---

This record from the Alexandria database describes a relaxed LiSi2P crystal. The functional is GGA-PBE.

Cell lengths 4.007, 4.007, 6.852 Å; angles 90.21, 90.21, 39.54 degrees
Sites, in units of the cell vectors:
Li (0.000, 0.000, 0.000)
Si (0.527, 0.527, 0.653)
Si (0.798, 0.798, 0.461)
P (0.275, 0.275, 0.183)

Volume (Å³ per cell): 70.04
Total magnetization (μB/f.u.): 0.000
Space group: Cm (8)
Uncorrected energy (eV/atom): -4.459
DOS(E_F) (states/eV/f.u.): 0.85

---

This record from the Alexandria database describes a relaxed CrRe2Ru crystal. The functional is GGA-PBE.

Cell lengths 2.715, 3.792, 5.450 Å; angles 90.00, 90.00, 90.00 degrees
Sites, in units of the cell vectors:
Cr (0.000, 0.000, 0.000)
Re (0.500, 0.500, 0.240)
Re (0.500, 0.500, 0.760)
Ru (0.000, 0.000, 0.500)

Volume (Å³ per cell): 56.13
Total magnetization (μB/f.u.): 0.005
Space group: Pmmm (47)
Polymorph energy (0 for the lowest one) (eV per atom): 0.014
DFT formation energy (eV/atom): 0.11
DOS(E_F) (states/eV/f.u.): 4.00

---

This record from the Alexandria database describes a relaxed Cs3PuMg2I9 crystal. The functional is GGA-PBE.

Cell lengths 8.573, 8.573, 10.529 Å; angles 90.00, 90.00, 120.00 degrees
Sites, in units of the cell vectors:
Cs (0.000, 0.000, 0.000)
Cs (0.333, 0.667, 0.676)
Cs (0.667, 0.333, 0.324)
Pu (0.000, 0.000, 0.500)
Mg (0.333, 0.667, 0.157)
Mg (0.667, 0.333, 0.843)
I (0.000, 0.500, 0.000)
I (0.173, 0.345, 0.325)
I (0.173, 0.827, 0.325)
I (0.345, 0.173, 0.675)
I (0.500, 0.000, 0.000)
I (0.500, 0.500, 0.000)
I (0.655, 0.827, 0.325)
I (0.827, 0.173, 0.675)
I (0.827, 0.655, 0.675)

Volume (Å³ per cell): 670.17
Total magnetization (μB/f.u.): 5.883
Space group: P-3m1 (164)
Uncorrected energy (eV/atom): -3.483
DOS(E_F) (states/eV/f.u.): 20.43

---

This record from the Alexandria database describes a relaxed Sr2CuB2O6 crystal. The functional is GGA-PBE.

Cell lengths 7.839, 10.829, 13.715 Å; angles 90.00, 90.00, 90.00 degrees
Sites, in units of the cell vectors:
Sr (0.000, 0.000, 0.000)
Sr (0.000, 0.500, 0.000)
Sr (0.115, 0.250, 0.456)
Sr (0.162, 0.523, 0.717)
Sr (0.162, 0.977, 0.717)
Sr (0.338, 0.023, 0.217)
Sr (0.338, 0.477, 0.217)
Sr (0.385, 0.750, 0.956)
Sr (0.500, 0.000, 0.500)
Sr (0.500, 0.500, 0.500)
Sr (0.615, 0.250, 0.044)
Sr (0.662, 0.523, 0.783)
Sr (0.662, 0.977, 0.783)
Sr (0.838, 0.023, 0.283)
Sr (0.838, 0.477, 0.283)
Sr (0.885, 0.750, 0.544)
Cu (0.039, 0.750, 0.300)
Cu (0.195, 0.250, 0.073)
Cu (0.305, 0.750, 0.573)
Cu (0.461, 0.250, 0.800)
Cu (0.539, 0.750, 0.200)
Cu (0.695, 0.250, 0.427)
Cu (0.805, 0.750, 0.927)
Cu (0.961, 0.250, 0.700)
B (0.018, 0.250, 0.214)
B (0.077, 0.750, 0.129)
B (0.135, 0.562, 0.433)
B (0.135, 0.938, 0.433)
B (0.365, 0.062, 0.933)
B (0.365, 0.438, 0.933)
B (0.423, 0.250, 0.629)
B (0.482, 0.750, 0.714)
B (0.518, 0.250, 0.286)
B (0.577, 0.750, 0.371)
B (0.635, 0.562, 0.067)
B (0.635, 0.938, 0.067)
B (0.865, 0.062, 0.567)
B (0.865, 0.438, 0.567)
B (0.923, 0.250, 0.871)
B (0.982, 0.750, 0.786)
O (0.008, 0.123, 0.604)
O (0.008, 0.377, 0.604)
O (0.065, 0.141, 0.166)
O (0.065, 0.359, 0.166)
O (0.067, 0.750, 0.700)
O (0.069, 0.641, 0.185)
O (0.069, 0.859, 0.185)
O (0.087, 0.750, 0.030)
O (0.201, 0.601, 0.523)
O (0.201, 0.899, 0.523)
O (0.208, 0.036, 0.387)
O (0.208, 0.464, 0.387)
O (0.292, 0.536, 0.887)
O (0.292, 0.964, 0.887)
O (0.299, 0.101, 0.023)
O (0.299, 0.399, 0.023)
O (0.413, 0.250, 0.530)
O (0.431, 0.141, 0.685)
O (0.431, 0.359, 0.685)
O (0.433, 0.250, 0.200)
O (0.435, 0.641, 0.666)
O (0.435, 0.859, 0.666)
O (0.492, 0.623, 0.104)
O (0.492, 0.877, 0.104)
O (0.508, 0.123, 0.896)
O (0.508, 0.377, 0.896)
O (0.565, 0.141, 0.334)
O (0.565, 0.359, 0.334)
O (0.567, 0.750, 0.800)
O (0.569, 0.641, 0.315)
O (0.569, 0.859, 0.315)
O (0.587, 0.750, 0.470)
O (0.701, 0.601, 0.977)
O (0.701, 0.899, 0.977)
O (0.708, 0.036, 0.113)
O (0.708, 0.464, 0.113)
O (0.792, 0.536, 0.613)
O (0.792, 0.964, 0.613)
O (0.799, 0.101, 0.477)
O (0.799, 0.399, 0.477)
O (0.913, 0.250, 0.970)
O (0.931, 0.141, 0.815)
O (0.931, 0.359, 0.815)
O (0.933, 0.250, 0.300)
O (0.935, 0.641, 0.834)
O (0.935, 0.859, 0.834)
O (0.992, 0.623, 0.396)
O (0.992, 0.877, 0.396)

Volume (Å³ per cell): 1164.32
Total magnetization (μB/f.u.): 1.001
Space group: Pnma (62)
Polymorph energy (0 for the lowest one) (eV per atom): 0.011

---

This record from the Alexandria database describes a relaxed Tl2BiPd crystal. The functional is GGA-PBE.

Cell lengths 11.579, 11.579, 11.579 Å; angles 158.29, 158.29, 30.90 degrees
Sites, in units of the cell vectors:
Tl (0.110, 0.625, 0.985)
Tl (0.375, 0.360, 0.485)
Tl (0.640, 0.125, 0.015)
Tl (0.875, 0.890, 0.515)
Bi (0.250, 0.750, 0.500)
Bi (0.500, 0.500, 0.000)
Pd (0.000, 0.000, 0.000)
Pd (0.750, 0.250, 0.500)

Volume (Å³ per cell): 212.34
Total magnetization (μB/f.u.): 0.000
Space group: I-42d (122)
Polymorph energy (0 for the lowest one) (eV per atom): 0.093
DFT formation energy (eV/atom): 0.10
DOS(E_F) (states/eV/f.u.): 2.03

---

This record from the Alexandria database describes a relaxed CeTmIn6 crystal. The functional is GGA-PBE.

Cell lengths 6.667, 6.667, 5.286 Å; angles 90.00, 90.00, 120.00 degrees
Sites, in units of the cell vectors:
Ce (0.000, 0.000, 0.000)
Tm (0.667, 0.333, 0.500)
In (0.007, 0.503, 0.000)
In (0.174, 0.349, 0.500)
In (0.174, 0.826, 0.500)
In (0.497, 0.503, 0.000)
In (0.497, 0.993, 0.000)
In (0.651, 0.826, 0.500)

Volume (Å³ per cell): 203.53
Total magnetization (μB/f.u.): 0.832
Space group: P-6m2 (187)
Polymorph energy (0 for the lowest one) (eV per atom): 0.061
DFT formation energy (eV/atom): -0.33
DOS(E_F) (states/eV/f.u.): 8.33

---

This record from the Alexandria database describes a relaxed TiPbI6 crystal. The functional is GGA-PBE.

Cell lengths 7.618, 7.618, 7.442 Å; angles 98.43, 98.43, 121.24 degrees
Sites, in units of the cell vectors:
Ti (0.000, 0.000, 0.000)
Pb (0.500, 0.500, 0.500)
I (0.063, 0.365, 0.223)
I (0.236, 0.236, 0.778)
I (0.365, 0.063, 0.223)
I (0.635, 0.937, 0.777)
I (0.764, 0.764, 0.222)
I (0.937, 0.635, 0.777)

Volume (Å³ per cell): 352.38
Total magnetization (μB/f.u.): 0.000
Space group: C2/m (12)
Uncorrected energy (eV/atom): -3.229

---

This record from the Alexandria database describes a relaxed Na3Er2ThSe6 crystal. The functional is GGA-PBE.

Cell lengths 9.463, 9.463, 8.571 Å; angles 105.24, 105.24, 25.10 degrees
Sites, in units of the cell vectors:
Na (0.000, 0.000, 0.000)
Na (0.333, 0.333, 0.670)
Na (0.667, 0.667, 0.330)
Er (0.331, 0.331, 0.161)
Er (0.669, 0.669, 0.839)
Th (0.000, 0.000, 0.500)
Se (0.165, 0.165, 0.598)
Se (0.171, 0.171, 0.071)
Se (0.494, 0.494, 0.248)
Se (0.506, 0.506, 0.752)
Se (0.829, 0.829, 0.929)
Se (0.835, 0.835, 0.402)

Volume (Å³ per cell): 313.52
Total magnetization (μB/f.u.): 0.000
Space group: C2/m (12)
Uncorrected energy (eV/atom): -5.068
DOS(E_F) (states/eV/f.u.): 3.81

---

This record from the Alexandria database describes a relaxed Ac12La5Pm crystal. The functional is GGA-PBE.

Cell lengths 6.318, 11.825, 11.825 Å; angles 60.49, 90.00, 90.00 degrees
Sites, in units of the cell vectors:
Ac (0.000, 0.162, 0.838)
Ac (0.000, 0.170, 0.495)
Ac (0.000, 0.495, 0.170)
Ac (0.000, 0.503, 0.829)
Ac (0.000, 0.829, 0.503)
Ac (0.000, 0.838, 0.162)
Ac (0.500, 0.046, 0.722)
Ac (0.500, 0.055, 0.379)
Ac (0.500, 0.379, 0.055)
Ac (0.500, 0.388, 0.713)
Ac (0.500, 0.713, 0.388)
Ac (0.500, 0.722, 0.046)
La (0.000, 0.495, 0.495)
La (0.000, 0.828, 0.828)
La (0.500, 0.056, 0.056)
La (0.500, 0.388, 0.388)
La (0.500, 0.722, 0.722)
Pm (0.000, 0.163, 0.163)

Volume (Å³ per cell): 768.88
Total magnetization (μB/f.u.): 0.000
Space group: Amm2 (38)
DFT formation energy (eV/atom): 0.04
DOS(E_F) (states/eV/f.u.): 31.23

---

This record from the Alexandria database describes a relaxed ZrOsSe crystal. The functional is GGA-PBE.

Cell lengths 4.883, 3.753, 6.619 Å; angles 90.00, 98.08, 90.00 degrees
Sites, in units of the cell vectors:
Zr (0.000, 0.000, 0.000)
Zr (0.388, 0.000, 0.589)
Os (0.490, 0.500, 0.877)
Os (0.887, 0.500, 0.699)
Se (0.339, 0.500, 0.219)
Se (0.869, 0.000, 0.417)

Volume (Å³ per cell): 120.12
Total magnetization (μB/f.u.): 0.000
Space group: Pm (6)
Uncorrected energy (eV/atom): -8.211
DOS(E_F) (states/eV/f.u.): 1.26

---

This record from the Alexandria database describes a relaxed Ba4Se2Br3 crystal. The functional is GGA-PBE.

Cell lengths 4.785, 4.785, 18.446 Å; angles 90.03, 90.03, 59.97 degrees
Sites, in units of the cell vectors:
Ba (0.001, 0.001, 0.309)
Ba (0.334, 0.334, 0.108)
Ba (0.666, 0.666, 0.892)
Ba (0.999, 0.999, 0.691)
Se (0.333, 0.333, 0.796)
Se (0.667, 0.667, 0.204)
Br (0.000, 0.000, 0.000)
Br (0.334, 0.334, 0.399)
Br (0.666, 0.666, 0.601)

Volume (Å³ per cell): 365.72
Total magnetization (μB/f.u.): 0.000
Space group: C2/m (12)
Uncorrected energy (eV/atom): -4.161
DOS(E_F) (states/eV/f.u.): 2.45

---

This record from the Alexandria database describes a relaxed Ta2ReBr crystal. The functional is GGA-PBE.

Cell lengths 9.346, 9.346, 9.346 Å; angles 19.32, 19.32, 19.32 degrees
Sites, in units of the cell vectors:
Ta (0.000, 0.000, 0.000)
Ta (0.246, 0.246, 0.246)
Re (0.512, 0.512, 0.512)
Br (0.737, 0.737, 0.737)

Volume (Å³ per cell): 78.12
Total magnetization (μB/f.u.): 0.000
Space group: R3m (160)
Polymorph energy (0 for the lowest one) (eV per atom): 0.121
DOS(E_F) (states/eV/f.u.): 2.86